A geometry-optimized Ba2MgSb structure. Source: Alexandria via LeMat-Bulk, functional PBE.

**Energy above the most stable polymorph in this dataset**: 0.07 eV/f.u.
**E_form (uncorrected)**: -533.2 meV/atom
**Symmetry**: Imm2 (44)

```
8
Lattice="4.502 0.000 0.000 0.000 5.509 0.000 0.000 0.000 12.352" Properties=species:S:1:pos:R:3 pbc="T T T"
Ba 0.000 0.000 0.000
Ba 0.000 2.754 2.643
Ba 2.251 0.000 8.819
Ba 2.251 2.754 6.176
Mg 0.000 2.754 9.723
Mg 2.251 0.000 3.547
Sb 0.000 0.000 5.505
Sb 2.251 2.754 11.681
```



A geometry-optimized NaTa2TiAu structure. Source: Alexandria via LeMat-Bulk, functional PBE.

**Symmetry**: P4/mmm (123)
**ΔE_f**: 2.01 eV/atom

```
5
Lattice="4.706 0.000 0.000 0.000 4.706 0.000 0.000 0.000 4.462" Properties=species:S:1:pos:R:3 pbc="T T T"
Na 0.000 0.000 0.000
Ta 0.000 2.353 0.000
Ta 2.353 0.000 0.000
Ti 0.000 0.000 2.231
Au 2.353 2.353 2.231
```



Computed values of E_tot (unit: eV/atom) for the preceding records, in sequence: -2.924; -5.232.